LiWSe2Br: optimized geometry, PBE.

excess energy over the best structure of this formula in the dataset: 0.000 eV per atom
total magnetic moment: 0.145 μB/atom
space-group type: P4/mmm

Lattice parameters (Å, degrees): 4.8911 4.8911 5.5438 90.00 90.00 90.00
Last column: magnetic moment on the atom in μB.
Fractional coordinates of all 5 atoms:
Se 0.0000 0.5000 0.0000  0.01
Se 0.5000 0.0000 0.0000  0.01
Br 0.0000 0.0000 0.5000  0.01
W 0.0000 0.0000 0.0000  0.53
Li 0.5000 0.5000 0.5000  0.00

***

AlGa2TeO8: optimized geometry, PBE.

E: -68.69 eV for the cell shown
total magnetic moment: 0.086 μB/atom
space-group type: I-4m2

Lattice parameters (Å, degrees): 5.5635 5.5635 5.5635 111.51 111.51 105.46
Last column: magnetic moment on the atom in μB.
Fractional coordinates of all 12 atoms:
Al 0.0000 0.0000 0.0000  -0.01
Ga 0.7500 0.2500 0.5000  -0.01
Ga 0.5000 0.5000 0.0000  0.00
Te 0.2500 0.7500 0.5000  -0.01
O 0.3438 0.0456 0.2982  0.20
O 0.3004 0.4968 0.1964  0.02
O 0.3004 0.1040 0.8036  0.02
O 0.7473 0.0456 0.7018  0.20
O 0.8960 0.6996 0.1964  0.02
O 0.9544 0.2527 0.2982  0.20
O 0.9544 0.6562 0.7018  0.20
O 0.5032 0.6996 0.8036  0.02

***

NbTeMo2Ru: optimized geometry, PBE.

E: -34.29 eV for the cell shown
total magnetic moment: 0.320 μB/atom
space-group type: P4/mmm

Lattice parameters (Å, degrees): 4.6888 5.1759 4.6888 90.00 90.00 90.00
Last column: magnetic moment on the atom in μB.
Fractional coordinates of all 5 atoms:
Ru 0.5000 0.5000 0.5000  1.46
Mo 0.0000 0.0000 0.5000  0.00
Mo 0.5000 0.0000 0.0000  0.02
Te 0.0000 0.5000 0.0000  -0.03
Nb 0.0000 0.0000 0.0000  0.05

***

Mg8Tl2Pb3: optimized geometry, PBE.

total magnetic moment: 0.000 μB/atom
space-group type: R-3m
energy relative to the elements: 0.05 eV/atom

Lattice parameters (Å, degrees): 5.9941 5.9941 11.6547 75.10 75.10 60.00
Fractional coordinates of all 13 atoms:
Mg 0.7224 0.7224 0.8329
Mg 0.2776 0.2776 0.1671
Mg 0.2256 0.7290 0.3164
Mg 0.7290 0.2256 0.3164
Mg 0.7290 0.7290 0.3164
Mg 0.2710 0.7744 0.6836
Mg 0.7744 0.2710 0.6836
Mg 0.2710 0.2710 0.6836
Tl 0.6368 0.6368 0.0896
Tl 0.3632 0.3632 0.9104
Pb 0.0000 0.0000 0.0000
Pb 0.8120 0.8120 0.5639
Pb 0.1880 0.1880 0.4361

***

PaPRh2: optimized geometry, PBE.

excess energy over the best structure of this formula in the dataset: 0.000 eV per atom
total magnetic moment: 0.000 μB/atom
space-group type: Cmcm
energy relative to the elements: -0.98 eV/atom

Lattice parameters (Å, degrees): 3.8293 3.9147 9.4815 90.00 101.65 90.00
Fractional coordinates of all 8 atoms:
Pa 0.3985 0.2500 0.7970
Pa 0.6015 0.7500 0.2030
P 0.1760 0.2500 0.3520
P 0.8240 0.7500 0.6480
Rh 0.7487 0.2500 0.4973
Rh 0.2513 0.7500 0.5027
Rh 0.0518 0.2500 0.1036
Rh 0.9482 0.7500 0.8964

***

K3Ho3PuTe8: optimized geometry, PBE.

E: -75.39 eV for the cell shown
total magnetic moment: 0.268 μB/atom
space-group type: R-3m

Lattice parameters (Å, degrees): 8.8760 8.8752 9.8161 116.88 90.00 120.00
Last column: magnetic moment on the atom in μB.
Fractional coordinates of all 15 atoms:
K 0.0000 0.0000 0.0000  0.00
K 0.0000 0.5000 0.0000  0.00
K 0.5000 0.5000 0.0000  0.00
Ho 0.5000 0.0000 0.5000  0.00
Ho 0.5000 0.5000 0.5000  0.00
Ho 0.0000 0.5000 0.5000  0.00
Pu 0.0000 0.0000 0.5000  4.90
Te 0.2640 0.5281 0.2922  -0.01
Te 0.7360 0.4719 0.7078  -0.01
Te 0.7641 0.5282 0.2948  -0.09
Te 0.2359 0.4718 0.7052  -0.09
Te 0.7641 0.0306 0.2948  -0.09
Te 0.2359 0.9694 0.7052  -0.09
Te 0.2664 0.0306 0.2948  -0.09
Te 0.7336 0.9694 0.7052  -0.09

***

RbAc2Gd: optimized geometry, PBE.

total magnetic moment: 1.744 μB/atom
space-group type: R-3m
energy relative to the elements: 0.20 eV/atom

Lattice parameters (Å, degrees): 3.9164 3.9164 14.3100 82.13 82.13 60.00
Last column: magnetic moment on the atom in μB.
Fractional coordinates of all 4 atoms:
Ac 0.0967 0.0967 0.7098  -0.05
Ac 0.9033 0.9033 0.2902  -0.05
Gd 0.5000 0.5000 0.5000  7.14
Rb 0.0000 0.0000 0.0000  -0.01

***

CaInPb2: optimized geometry, PBE.

total magnetic moment: 0.000 μB/atom
space-group type: Cm
energy relative to the elements: -0.24 eV/atom

Lattice parameters (Å, degrees): 6.0846 6.0846 5.5859 75.58 75.58 36.71
Fractional coordinates of all 4 atoms:
Pb 0.9952 0.9952 0.0084
Pb 0.7461 0.7461 0.7531
Ca 0.5048 0.5048 0.4999
In 0.2540 0.2540 0.2388

***

Cr2Rh2Br: optimized geometry, PBE.

excess energy over the best structure of this formula in the dataset: 0.218 eV per atom
total magnetic moment: 0.001 μB/atom
space-group type: I4/mmm

Lattice parameters (Å, degrees): 3.9519 3.9519 5.8187 70.15 70.15 90.00
Fractional coordinates of all 5 atoms:
Cr 0.3993 0.3993 0.2013
Cr 0.6007 0.6007 0.7987
Rh 0.7500 0.2500 0.5000
Rh 0.2500 0.7500 0.5000
Br 0.0000 0.0000 0.0000

***

Ba8Au4I: optimized geometry, PBE.

E: -38.47 eV for the cell shown
total magnetic moment: 0.000 μB/atom
space-group type: Cm

Lattice parameters (Å, degrees): 4.8316 12.0098 12.0959 87.85 78.48 78.40
Fractional coordinates of all 13 atoms:
Ba 0.1633 0.3727 0.3006
Ba 0.5459 0.2917 0.6165
Ba 0.4599 0.6860 0.3942
Ba 0.8416 0.6053 0.7114
Ba 0.8537 0.3286 0.9639
Ba 0.1897 0.9480 0.6725
Ba 0.1478 0.6593 0.0452
Ba 0.8126 0.0272 0.3476
Au 0.3476 0.4666 0.8381
Au 0.8264 0.8178 0.5294
Au 0.1797 0.1584 0.4823
Au 0.6566 0.5139 0.1729
I 0.6203 0.8568 0.9027

***

Sc3Zn3Cu2: optimized geometry, PBE.

total magnetic moment: 0.000 μB/atom
space-group type: P-62m
energy relative to the elements: -0.28 eV/atom

Lattice parameters (Å, degrees): 3.5454 6.7739 6.7739 120.00 90.00 90.00
Fractional coordinates of all 8 atoms:
Sc 0.5000 0.4041 0.4041
Sc 0.5000 0.5959 0.0000
Sc 0.5000 0.0000 0.5959
Zn 0.0000 0.7665 0.7665
Zn 0.0000 0.2335 0.0000
Zn 0.0000 0.0000 0.2335
Cu 0.0000 0.3333 0.6667
Cu 0.0000 0.6667 0.3333

***

ScCdFeNi2: optimized geometry, PBE.

total magnetic moment: 0.460 μB/atom
space-group type: P4/mmm
energy relative to the elements: 1.04 eV/atom

Lattice parameters (Å, degrees): 4.6434 4.7097 4.6434 90.00 90.00 90.00
Last column: magnetic moment on the atom in μB.
Fractional coordinates of all 5 atoms:
Sc 0.5000 0.5000 0.5000  -0.33
Ni 0.0000 0.0000 0.5000  0.06
Ni 0.5000 0.0000 0.0000  0.00
Fe 0.0000 0.5000 0.0000  2.83
Cd 0.0000 0.0000 0.0000  -0.02

***

HfSbCl3: optimized geometry, PBE.

excess energy over the best structure of this formula in the dataset: 0.000 eV per atom
total magnetic moment: 0.565 μB/atom
space-group type: Pm-3m

Lattice parameters (Å, degrees): 5.0892 5.0892 5.0892 90.00 90.00 90.00
Last column: magnetic moment on the atom in μB.
Fractional coordinates of all 5 atoms:
Sb 0.5000 0.5000 0.5000  1.03
Hf 0.0000 0.0000 0.0000  -0.03
Cl 0.0000 0.5000 0.0000  0.04
Cl 0.0000 0.0000 0.5000  0.09
Cl 0.5000 0.0000 0.0000  0.07

***

Ac2NpAsO8: optimized geometry, PBE.

E: -90.57 eV for the cell shown
total magnetic moment: 0.322 μB/atom
space-group type: P-3m1

Lattice parameters (Å, degrees): 5.6480 5.6480 6.2336 90.00 90.00 120.00
Last column: magnetic moment on the atom in μB.
Fractional coordinates of all 12 atoms:
Ac 0.6667 0.3333 0.1455  0.06
Ac 0.3333 0.6667 0.8545  0.06
Np 0.0000 0.0000 0.5000  3.16
As 0.0000 0.0000 0.0000  0.01
O 0.8507 0.7014 0.8155  -0.01
O 0.2986 0.1493 0.8155  -0.01
O 0.8507 0.1493 0.8155  -0.01
O 0.1493 0.2986 0.1845  -0.01
O 0.7014 0.8507 0.1845  -0.01
O 0.1493 0.8507 0.1845  -0.01
O 0.6667 0.3333 0.4877  0.26
O 0.3333 0.6667 0.5123  0.26

***

MgUGa2Ir2: optimized geometry, PBE.

total magnetic moment: 0.303 μB/atom
space-group type: P-3m1
energy relative to the elements: -0.48 eV/atom

Lattice parameters (Å, degrees): 4.3636 4.3636 6.4563 90.00 90.00 120.00
Last column: magnetic moment on the atom in μB.
Fractional coordinates of all 6 atoms:
Mg 0.0000 0.0000 0.5000  0.00
U 0.0000 0.0000 0.0000  1.72
Ga 0.3333 0.6667 0.7028  0.02
Ga 0.6667 0.3333 0.2972  0.02
Ir 0.3333 0.6667 0.2551  -0.07
Ir 0.6667 0.3333 0.7449  -0.07

***

ZrVTc2: optimized geometry, PBE.

total magnetic moment: 0.000 μB/atom
space-group type: P4/mmm
energy relative to the elements: -0.30 eV/atom

Lattice parameters (Å, degrees): 3.1492 3.1492 6.3983 90.00 90.00 90.00
Fractional coordinates of all 4 atoms:
Tc 0.0000 0.0000 0.7718
Tc 0.0000 0.0000 0.2282
Zr 0.5000 0.5000 0.5000
V 0.5000 0.5000 0.0000

***

TaSbTe3: optimized geometry, PBE.

excess energy over the best structure of this formula in the dataset: 0.258 eV per atom
total magnetic moment: 0.047 μB/atom
space-group type: Pm-3m

Lattice parameters (Å, degrees): 5.3974 5.3974 5.3974 90.00 90.00 90.00
Last column: magnetic moment on the atom in μB.
Fractional coordinates of all 5 atoms:
Sb 0.5000 0.5000 0.5000  0.06
Te 0.0000 0.5000 0.0000  -0.01
Te 0.0000 0.0000 0.5000  -0.01
Te 0.5000 0.0000 0.0000  -0.01
Ta 0.0000 0.0000 0.0000  0.10

***

YTi2Pt: optimized geometry, PBE.

excess energy over the best structure of this formula in the dataset: 0.053 eV per atom
total magnetic moment: 0.000 μB/atom
space-group type: Cm
energy relative to the elements: -0.47 eV/atom

Lattice parameters (Å, degrees): 9.1635 4.3548 9.3797 90.00 118.35 90.00
Fractional coordinates of all 16 atoms:
Y 0.3151 0.0000 0.5897
Y 0.3151 0.5000 0.0897
Y 0.5514 0.0000 0.4026
Y 0.5514 0.5000 0.9026
Pt 0.7507 0.0000 0.8754
Pt 0.7507 0.5000 0.3754
Pt 0.3066 0.0000 0.8814
Pt 0.3066 0.5000 0.3814
Ti 0.7899 0.0000 0.1743
Ti 0.7899 0.5000 0.6743
Ti 0.0172 0.0000 0.8622
Ti 0.0172 0.5000 0.3622
Ti 0.9383 0.0000 0.5334
Ti 0.9383 0.5000 0.0334
Ti 0.1125 0.0000 0.2076
Ti 0.1125 0.5000 0.7076

***

RbTl4Pd2Pt: optimized geometry, PBE.

total magnetic moment: 0.000 μB/atom
space-group type: R-3m
energy relative to the elements: -0.11 eV/atom

Lattice parameters (Å, degrees): 4.6940 4.6940 11.4085 78.13 78.13 60.00
Fractional coordinates of all 8 atoms:
Rb 0.0000 0.0000 0.0000
Tl 0.4075 0.4075 0.7776
Tl 0.8665 0.8665 0.4004
Tl 0.1335 0.1335 0.5996
Tl 0.5925 0.5925 0.2224
Pd 0.7762 0.7762 0.6713
Pd 0.2238 0.2238 0.3287
Pt 0.5000 0.5000 0.5000

***

Tb6DyTh2: optimized geometry, PBE.

excess energy over the best structure of this formula in the dataset: 0.000 eV per atom
total magnetic moment: 0.000 μB/atom
space-group type: C2/m
energy relative to the elements: 0.05 eV/atom

Lattice parameters (Å, degrees): 3.4896 11.9766 11.9766 47.87 54.41 54.41
Fractional coordinates of all 9 atoms:
Tb 0.8321 0.3337 0.0000
Tb 0.1679 0.0000 0.6663
Tb 0.1679 0.6663 0.0000
Tb 0.5000 0.3340 0.6660
Tb 0.8321 0.0000 0.3337
Tb 0.5000 0.6660 0.3340
Dy 0.0000 0.0000 0.0000
Th 0.3326 0.6668 0.6668
Th 0.6674 0.3332 0.3332